(1)
This record from the Alexandria database describes a relaxed structure of RbCdNi2Os. The functional is GGA-PBE.

Cell lengths 4.6888, 4.6888, 5.3545 Å; angles 90.00, 90.00, 90.00 degrees
Last column: nearest neighbours and their distance in Å.
Sites, in units of the cell vectors:
Rb 0.0000 0.0000 0.0000  4 Cd 3.32, 8 Ni 3.56
Cd 0.5000 0.5000 0.0000  2 Os 2.68
Ni 0.0000 0.5000 0.5000  2 Os 2.34
Ni 0.5000 0.0000 0.5000  2 Os 2.34
Os 0.5000 0.5000 0.5000  4 Ni 2.34

Values from the calculation:
The total DFT energy (no corrections) is -4.04 eV/atom. The calculation puts the formation energy at 0.894 eV per atom. The density of states at the Fermi level comes out at 1.150 states/eV per atom.


(2)
This record from the Alexandria database describes a relaxed structure of NdEr3Tm. The functional is GGA-PBE.

Cell lengths 6.2529, 5.6182, 9.5510 Å; angles 90.00, 109.04, 90.00 degrees
Last column: nearest neighbours and their distance in Å.
Sites, in units of the cell vectors:
Nd 0.0682 0.2500 0.2998  10 Er 3.50-3.64, 2 Tm 3.61-3.63
Nd 0.9318 0.7500 0.7002  10 Er 3.50-3.64, 2 Tm 3.61-3.63
Er 0.1348 0.7500 0.0977  5 Er 3.49-3.64, 4 Tm 3.49-3.61, 3 Nd 3.51-3.59
Er 0.2689 0.2500 0.7026  3 Tm 3.49-3.57, 3 Nd 3.51-3.64, 6 Er 3.51-3.64
Er 0.3359 0.7500 0.5007  7 Er 3.48-3.64, 4 Nd 3.50-3.63, 1 Tm 3.62
Er 0.6641 0.2500 0.4993  7 Er 3.48-3.64, 4 Nd 3.50-3.63, 1 Tm 3.62
Er 0.7311 0.7500 0.2974  3 Tm 3.49-3.57, 3 Nd 3.51-3.64, 6 Er 3.51-3.64
Er 0.8652 0.2500 0.9023  5 Er 3.49-3.64, 4 Tm 3.49-3.61, 3 Nd 3.51-3.59
Tm 0.4661 0.2500 0.0986  2 Tm 3.48, 8 Er 3.49-3.62, 2 Nd 3.61-3.63
Tm 0.5339 0.7500 0.9014  2 Tm 3.48, 8 Er 3.49-3.62, 2 Nd 3.61-3.63

Values from the calculation:
The total DFT energy (no corrections) is -4.58 eV/atom. The calculation puts the formation energy at 0.009 eV per atom. The density of states at the Fermi level comes out at 1.626 states/eV per atom. The calculation puts the energy above the most stable polymorph in this dataset at 0.000 eV/atom.


(3)
This record from the Alexandria database describes a relaxed structure of TmHfSi2. The functional is GGA-PBE.

Cell lengths 7.0302, 7.0302, 7.0302 Å; angles 31.53, 31.53, 31.53 degrees
Last column: nearest neighbours and their distance in Å.
Sites, in units of the cell vectors:
Tm 0.0000 0.0000 0.0000  6 Si 2.84
Hf 0.5000 0.5000 0.5000  6 Si 2.69
Si 0.2438 0.2438 0.2438  3 Hf 2.69, 3 Tm 2.84
Si 0.7562 0.7562 0.7562  3 Hf 2.69, 3 Tm 2.84

Values from the calculation:
The total DFT energy (no corrections) is -6.85 eV/atom. The density of states at the Fermi level comes out at 0.523 states/eV per atom. The value obtained for the energy relative to the elements, uncorrected is -0.53 eV per atom. The calculation puts the energy above the most stable polymorph in this dataset at 0.241 eV/atom.


(4)
This record from the Alexandria database describes a relaxed structure of K4NiRh. The functional is GGA-PBE.

Cell lengths 6.5139, 6.5139, 6.5139 Å; angles 60.00, 60.00, 60.00 degrees
Last column: nearest neighbours and their distance in Å.
Sites, in units of the cell vectors:
K 0.1249 0.1249 0.1249  6 K 3.25-3.26
K 0.1249 0.1249 0.6254  6 K 3.25-3.26
K 0.1249 0.6254 0.1249  6 K 3.25-3.26
K 0.6254 0.1249 0.1249  6 K 3.25-3.26
Ni 0.5000 0.5000 0.5000  12 K 3.82, 4 Rh 3.99
Rh 0.7500 0.7500 0.7500  12 K 3.82, 4 Ni 3.99

Values from the calculation:
The total DFT energy (no corrections) is -1.79 eV/atom. The calculation puts the formation energy at 1.132 eV per atom. The density of states at the Fermi level comes out at 2.340 states/eV per atom.


> What is the total DFT energy (no corrections) in the third record?

-6.85 eV/atom